Below is Zr4Co4Si7 after structural relaxation, with properties calculated at the GGA-PBE level.

Unit cell a=5.0766 b=9.4876 c=9.4876 alpha=94.10 beta=105.52 gamma=74.48
With the nearest neighbours (Å) after each atom.
Fractional positions:
Co: 0.1026 0.5000 0.2053  6 Si 2.37-2.40, 2 Co 2.54
Co: 0.6026 0.5000 0.2053  6 Si 2.37-2.40, 2 Co 2.54
Co: 0.3974 0.2053 0.5000  6 Si 2.37-2.40, 2 Co 2.54
Co: 0.8974 0.2053 0.5000  6 Si 2.37-2.40, 2 Co 2.54
Co: 0.1026 0.7947 0.5000  6 Si 2.37-2.40, 2 Co 2.54
Co: 0.6026 0.7947 0.5000  6 Si 2.37-2.40, 2 Co 2.54
Co: 0.3974 0.5000 0.7947  6 Si 2.37-2.40, 2 Co 2.54
Co: 0.8974 0.5000 0.7947  6 Si 2.37-2.40, 2 Co 2.54
Si: 0.2507 0.0000 0.0000  2 Si 2.53-2.55, 4 Zr 2.82
Si: 0.7493 0.0000 0.0000  2 Si 2.53-2.55, 4 Zr 2.82
Si: 0.2887 0.4225 0.0000  4 Co 2.37
Si: 0.7113 0.5775 0.0000  4 Co 2.37
Si: 0.0000 0.3027 0.3027  4 Co 2.38
Si: 0.3027 0.6973 0.3027  4 Co 2.38
Si: 0.5000 0.4083 0.4083  1 Si 2.37, 4 Co 2.40
Si: 0.9083 0.5917 0.4083  1 Si 2.37, 4 Co 2.40
Si: 0.7113 0.0000 0.4225  4 Co 2.37
Si: 0.2887 0.0000 0.5775  4 Co 2.37
Si: 0.0917 0.4083 0.5917  1 Si 2.37, 4 Co 2.40
Si: 0.5000 0.5917 0.5917  1 Si 2.37, 4 Co 2.40
Si: 0.6973 0.3027 0.6973  4 Co 2.38
Si: 0.0000 0.6973 0.6973  4 Co 2.38
Zr: 0.8623 0.2754 0.0000  7 Si 2.76-2.87, 4 Co 3.06
Zr: 0.1377 0.7246 0.0000  7 Si 2.76-2.87, 4 Co 3.06
Zr: 0.6967 0.8033 0.1967  7 Si 2.74-2.88, 4 Co 3.05
Zr: 0.5000 0.1967 0.1967  7 Si 2.74-2.88, 4 Co 3.05
Zr: 0.1377 0.0000 0.2754  7 Si 2.76-2.87, 4 Co 3.06
Zr: 0.8623 0.0000 0.7246  7 Si 2.76-2.87, 4 Co 3.06
Zr: 0.3033 0.1967 0.8033  7 Si 2.74-2.88, 4 Co 3.05
Zr: 0.5000 0.8033 0.8033  7 Si 2.74-2.88, 4 Co 3.05

Computed properties:
Magnetic moment: 0.00 μB/f.u.
Raw total energy: -225.84 eV/cell

Below is ZrCoSi2 after structural relaxation, with properties calculated at the GGA-PBE level.

Unit cell a=4.3996 b=4.3996 c=4.3996 alpha=60.00 beta=60.00 gamma=60.00
With the nearest neighbours (Å) after each atom.
Fractional positions:
Co: 0.2500 0.2500 0.2500  4 Si 2.69, 4 Zr 2.69
Si: 0.0000 0.0000 0.0000  4 Co 2.69, 4 Si 2.69
Si: 0.7500 0.7500 0.7500  4 Zr 2.69, 4 Si 2.69
Zr: 0.5000 0.5000 0.5000  4 Si 2.69, 4 Co 2.69

Computed properties:
Magnetic moment: 0.82 μB/f.u.
Raw total energy: -26.78 eV/cell

Below is Zr4Co7Si6 after structural relaxation, with properties calculated at the GGA-PBE level.

Unit cell a=6.6977 b=6.6977 c=6.6977 alpha=109.47 beta=109.47 gamma=109.47
With the nearest neighbours (Å) after each atom.
Fractional positions:
Co: 0.0000 0.0000 0.0000  6 Si 2.52
Co: 0.7500 0.5000 0.2500  4 Si 2.36
Co: 0.5000 0.7500 0.2500  4 Si 2.36
Co: 0.7500 0.2500 0.5000  4 Si 2.36
Co: 0.2500 0.7500 0.5000  4 Si 2.36
Co: 0.5000 0.2500 0.7500  4 Si 2.36
Co: 0.2500 0.5000 0.7500  4 Si 2.36
Si: 0.3257 0.3257 0.0000  5 Co 2.36-2.52
Si: 0.6743 0.6743 0.0000  5 Co 2.36-2.52
Si: 0.3257 0.0000 0.3257  5 Co 2.36-2.52
Si: 0.0000 0.3257 0.3257  5 Co 2.36-2.52
Si: 0.6743 0.0000 0.6743  5 Co 2.36-2.52
Si: 0.0000 0.6743 0.6743  5 Co 2.36-2.52
Zr: 0.5000 0.0000 0.0000  6 Co 2.73, 6 Si 2.80
Zr: 0.0000 0.5000 0.0000  6 Co 2.73, 6 Si 2.80
Zr: 0.0000 0.0000 0.5000  6 Co 2.73, 6 Si 2.80
Zr: 0.5000 0.5000 0.5000  6 Co 2.73, 6 Si 2.80

Computed properties:
Magnetic moment: 0.15 μB/f.u.
Raw total energy: -129.77 eV/cell

Below is Zr4CoSi3 after structural relaxation, with properties calculated at the GGA-PBE level.

Unit cell a=5.3456 b=3.7369 c=7.0619 alpha=90.00 beta=90.23 gamma=90.00
With the nearest neighbours (Å) after each atom.
Fractional positions:
Co: 0.6308 0.0000 0.9598  2 Si 2.39
Si: 0.3736 0.5000 0.0385  2 Co 2.39
Si: 0.8634 0.0000 0.4570  2 Si 2.45
Si: 0.1377 0.5000 0.5414  2 Si 2.45
Zr: 0.8728 0.5000 0.1657  2 Co 2.70, 5 Si 2.78-3.00
Zr: 0.3797 0.0000 0.3204  6 Si 2.73-2.93, 1 Co 2.88
Zr: 0.6243 0.5000 0.6884  2 Co 2.68, 5 Si 2.79-2.94
Zr: 0.1178 0.0000 0.8288  5 Si 2.75-2.95, 2 Co 2.77-2.89

Computed properties:
Magnetic moment: 0.06 μB/f.u.
Raw total energy: -63.74 eV/cell

Below is ZrCo2Si2 after structural relaxation, with properties calculated at the GGA-PBE level.

Unit cell a=3.7417 b=3.7417 c=5.4936 alpha=109.91 beta=109.91 gamma=90.00
With the nearest neighbours (Å) after each atom.
Fractional positions:
Co: 0.7500 0.2500 0.5000  4 Si 2.24
Co: 0.2500 0.7500 0.5000  4 Si 2.24
Si: 0.6220 0.6220 0.2440  4 Co 2.24, 1 Si 2.35
Si: 0.3780 0.3780 0.7560  4 Co 2.24, 1 Si 2.35
Zr: 0.0000 0.0000 0.0000  8 Si 2.89, 8 Co 3.05

Computed properties:
Magnetic moment: 0.01 μB/f.u.
Raw total energy: -37.64 eV/cell

Below is Sm5Co2 after structural relaxation, with properties calculated at the GGA-PBE level.

Unit cell a=6.4340 b=6.9692 c=8.8062 alpha=96.00 beta=111.43 gamma=90.00
With the nearest neighbours (Å) after each atom.
Fractional positions:
Co: 0.4022 0.0727 0.2219  6 Sm 2.70-2.93
Co: 0.8197 0.5727 0.2219  6 Sm 2.70-2.93
Co: 0.1803 0.4273 0.7781  6 Sm 2.70-2.93
Co: 0.5978 0.9273 0.7781  6 Sm 2.70-2.93
Sm: 0.5700 0.2500 0.0000  4 Co 2.87-2.93
Sm: 0.4300 0.7500 0.0000  4 Co 2.87-2.93
Sm: 0.2023 0.4140 0.1893  2 Co 2.70-2.80
Sm: 0.9870 0.9140 0.1893  2 Co 2.70-2.80
Sm: 0.7841 0.3169 0.4299  2 Co 2.75-2.89
Sm: 0.6458 0.8168 0.4299  2 Co 2.75-2.89
Sm: 0.3542 0.1831 0.5701  2 Co 2.75-2.89
Sm: 0.2159 0.6832 0.5701  2 Co 2.75-2.89
Sm: 0.0130 0.0860 0.8107  2 Co 2.70-2.80
Sm: 0.7977 0.5860 0.8107  2 Co 2.70-2.80

Computed properties:
Magnetic moment: 0.00 μB/f.u.
Raw total energy: -77.11 eV/cell
Energy of formation: -113 meV per atom